Entry 1:
Compound: CoIr2Se
Source: the Alexandria database
Functional: meta-GGA SCAN
Structure: PBEsol geometry

a = 2.775 Å, b = 2.775 Å, c = 7.132 Å
α = 90.00°, β = 90.00°, γ = 90.00°
Each line ends with the local moment (μB).
Atoms (fractional coordinates):
Se  0.000  0.000  0.527  -0.04
Ir  0.500  0.500  0.241  -0.08
Ir  0.000  0.000  0.986  0.16
Co  0.500  0.500  0.745  1.47

Summary:
N(E_F): 0.82 states/eV/atom
energy relative to the elements, uncorrected: 0.4239 eV/atom


Entry 2:
Compound: BaMoOsPb2
Source: the Alexandria database
Functional: meta-GGA SCAN
Structure: PBEsol geometry

a = 5.035 Å, b = 5.936 Å, c = 5.936 Å
α = 90.00°, β = 90.00°, γ = 90.00°
Each line ends with the local moment (μB).
Atoms (fractional coordinates):
Mo  0.500  0.500  0.500  4.10
Os  0.500  0.000  0.000  -0.75
Pb  0.000  0.500  0.000  -0.06
Ba  0.000  0.000  0.000  -0.07
Pb  0.000  0.000  0.500  -0.06

Summary:
N(E_F): 0.75 states/eV/atom
formation enthalpy at 0 K: 245 kJ per mole of atoms


Entry 3:
Compound: TlHg2Ir
Source: the Alexandria database
Functional: meta-GGA SCAN
Structure: PBEsol geometry

a = 2.960 Å, b = 4.607 Å, c = 7.071 Å
α = 109.01°, β = 102.08°, γ = 90.00°
Atoms (fractional coordinates):
Hg  0.004  0.004  0.008
Hg  0.183  0.683  0.365
Ir  0.499  0.499  0.999
Tl  0.814  0.314  0.628

Summary:
offset from the most stable computed form: 0 meV per atom
N(E_F): 0.57 states/eV/atom
formation enthalpy at 0 K: 30 kJ per mole of atoms


Entry 4:
Compound: Ce3Co4Sn13
Source: the Alexandria database
Functional: meta-GGA SCAN
Structure: PBEsol geometry

a = 9.438 Å, b = 9.438 Å, c = 9.438 Å
α = 90.00°, β = 90.00°, γ = 90.00°
Each line ends with the local moment (μB).
Atoms (fractional coordinates):
Sn  0.304  0.843  0.000  0.00
Sn  0.696  0.157  0.000  0.00
Ce  0.750  0.500  0.000  0.81
Sn  0.343  0.196  0.500  0.00
Sn  0.157  0.000  0.696  0.00
Co  0.750  0.250  0.750  -0.13
Ce  0.500  0.000  0.250  0.81
Sn  0.000  0.304  0.843  0.00
Co  0.750  0.750  0.250  -0.13
Sn  0.843  0.000  0.696  0.00
Sn  0.304  0.157  0.000  0.00
Sn  0.657  0.804  0.500  0.00
Sn  0.196  0.500  0.343  0.00
Ce  0.000  0.750  0.500  0.81
Sn  0.500  0.657  0.196  0.00
Sn  0.000  0.304  0.157  0.00
Sn  0.196  0.500  0.657  0.00
Co  0.250  0.750  0.250  -0.13
Sn  0.157  0.000  0.304  0.00
Co  0.750  0.250  0.250  -0.13
Ce  0.000  0.250  0.500  0.81
Sn  0.500  0.500  0.500  0.04
Sn  0.000  0.000  0.000  0.04
Sn  0.804  0.500  0.343  0.00
Sn  0.500  0.343  0.804  0.00
Sn  0.696  0.843  0.000  0.00
Sn  0.343  0.804  0.500  0.00
Sn  0.000  0.696  0.843  0.00
Sn  0.500  0.657  0.804  0.00
Sn  0.657  0.196  0.500  0.00
Sn  0.804  0.500  0.657  0.00
Co  0.250  0.250  0.750  -0.13
Sn  0.000  0.696  0.157  0.00
Ce  0.250  0.500  0.000  0.81
Co  0.750  0.750  0.750  -0.13
Sn  0.500  0.343  0.196  0.00
Co  0.250  0.250  0.250  -0.13
Co  0.250  0.750  0.750  -0.13
Ce  0.500  0.000  0.750  0.81
Sn  0.843  0.000  0.304  0.00

Summary:
N(E_F): 0.81 states/eV/atom
formation enthalpy at 0 K: -30 kJ per mole of atoms


Entry 5:
Compound: InGaCF2
Source: the Alexandria database
Functional: meta-GGA SCAN
Structure: PBEsol geometry

a = 3.965 Å, b = 3.965 Å, c = 4.584 Å
α = 90.00°, β = 90.00°, γ = 90.00°
Atoms (fractional coordinates):
F  0.500  0.000  0.000
F  0.000  0.500  0.000
C  0.000  0.000  0.000
In  0.000  0.000  0.500
Ga  0.500  0.500  0.500

Summary:
N(E_F): 0.25 states/eV/atom
energy relative to the elements, uncorrected: 0.1580 eV/atom


Entry 6:
Compound: YAl3B4O12
Source: the Alexandria database
Functional: meta-GGA SCAN
Structure: PBEsol geometry

a = 5.885 Å, b = 5.885 Å, c = 5.885 Å
α = 104.50°, β = 104.50°, γ = 104.50°
Atoms (fractional coordinates):
O  0.629  0.029  0.780
O  0.971  0.371  0.220
Al  0.444  0.556  0.000
O  0.371  0.220  0.971
O  0.908  0.092  0.500
O  0.092  0.500  0.908
O  0.780  0.629  0.029
B  0.500  0.500  0.500
B  0.943  0.500  0.057
B  0.057  0.943  0.500
O  0.500  0.649  0.351
O  0.220  0.971  0.371
O  0.649  0.351  0.500
Al  0.556  0.000  0.444
Y  0.000  0.000  0.000
O  0.351  0.500  0.649
B  0.500  0.057  0.943
Al  0.000  0.444  0.556
O  0.500  0.908  0.092
O  0.029  0.780  0.629

Summary:
N(E_F): 0.00 states/eV/atom
energy relative to the elements, uncorrected: -3.1362 eV/atom